Entry 1:
Material: HfCSN2
Method: DFT, GGA-PBE
State: optimized geometry

The density is 8.14 g/cm3. The volume comes out at 10.23 Å³/atom. Its formation energy from raw total energies is 5.72 eV/f.u.

The structure belongs to space group P4/mmm (No. 123); the cell edges are 3.723, 3.723 and 3.690 Å and the angles 90.00°, 90.00° and 90.00°. The distinct sites, in fractional coordinates, are Hf at (0.000, 0.000, 0.000), C at (0.500, 0.500, 0.500), S at (0.500, 0.500, 0.000) and N at (0.000, 0.500, 0.500).


Entry 2:
Material: SiMoPt2
Method: DFT, GGA-PBE
State: optimized geometry

The density is 13.78 g/cm3. The volume comes out at 15.49 Å³/atom. Its formation energy from raw total energies is -0.18 eV/f.u.

The structure belongs to space group P4/mmm (No. 123); the cell edges are 4.787, 4.787 and 2.705 Å and the angles 90.00°, 90.00° and 90.00°. The distinct sites, in fractional coordinates, are Si at (0.000, 0.000, 0.000), Mo at (0.500, 0.500, 0.000) and Pt at (0.000, 0.500, 0.500).


Entry 3:
Material: MgZnInSb
Method: DFT, GGA-PBE
State: optimized geometry

The density is 5.67 g/cm3. The volume comes out at 23.89 Å³/atom. Its formation energy from raw total energies is 0.15 eV/f.u.

The structure belongs to space group F-43m (No. 216); the cell edges are 7.257, 7.257 and 7.257 Å and the angles 90.00°, 90.00° and 90.00°. The distinct sites, in fractional coordinates, are Mg at (0.000, 0.000, 0.000), Zn at (0.000, 0.000, 0.500), In at (0.250, 0.250, 0.750) and Sb at (0.250, 0.250, 0.250).


Entry 4:
Material: IrRuPbN2
Method: DFT, GGA-PBE
State: optimized geometry

The density is 9.71 g/cm3. The volume comes out at 18.07 Å³/atom. Its formation energy from raw total energies is 6.33 eV/f.u.

The structure belongs to space group P4/mmm (No. 123); the cell edges are 3.795, 3.795 and 6.275 Å and the angles 90.00°, 90.00° and 90.00°. The distinct sites, in fractional coordinates, are Ir at (0.000, 0.000, 0.000), Ru at (0.500, 0.500, 0.500), Pb at (0.500, 0.500, 0.000) and N at (0.000, 0.500, 0.500).


Entry 5:
Material: MgCoAgCl6
Method: DFT, GGA-PBE
State: optimized geometry

The density is 3.42 g/cm3. The volume comes out at 21.80 Å³/atom. Its formation energy from raw total energies is -8.46 eV/f.u.

The structure belongs to space group P-31c (No. 163); the cell edges are 6.1960, 6.1960 and 11.8037 Å and the angles 90.00°, 90.00° and 120.00°. The distinct sites, in fractional coordinates, are Mg at (0.3333, 0.6667, 0.2500), Co at (0.3333, 0.6667, 0.7500), Ag at (0.0000, 0.0000, 0.0000) and Cl at (0.0276, 0.3753, 0.6376).


Entry 6:
Material: Sm3Ho2Sc8
Method: DFT, GGA-PBE
State: optimized geometry

The density is 5.04 g/cm3. The volume comes out at 28.90 Å³/atom. The value obtained for the formation energy is 0.260 eV/atom.

The structure belongs to space group C2/m (No. 12); the cell edges are 13.528, 8.727 and 6.774 Å and the angles 90.00°, 110.01° and 90.00°. The distinct sites, in fractional coordinates, are Sm at (0.000, 0.000, 0.000), Sm at (0.000, 0.185, 0.500), Ho at (0.241, 0.000, 0.426), Sc at (0.063, 0.500, 0.752), Sc at (0.125, 0.314, 0.156) and Sc at (0.196, 0.000, 0.901).


Entry 7:
Material: CdH2Pt
Method: DFT, GGA-PBE
State: optimized geometry

The density is 11.69 g/cm3. The volume comes out at 10.99 Å³/atom. The value obtained for the calculated total energy is -45.2 eV/cell.

The structure belongs to space group Fm-3m (No. 225); the cell edges are 5.603, 5.603 and 5.603 Å and the angles 90.00°, 90.00° and 90.00°. The distinct sites, in fractional coordinates, are Cd at (0.000, 0.000, 0.000), H at (0.250, 0.250, 0.250) and Pt at (0.000, 0.000, 0.500).


Entry 8:
Material: HoZnAu2
Method: DFT, GGA-PBE
State: optimized geometry

The density is 12.86 g/cm3. The volume comes out at 20.15 Å³/atom. The value obtained for the formation energy is -0.519 eV/atom.

The structure belongs to space group P4/mmm (No. 123); the cell edges are 4.575, 4.575 and 3.851 Å and the angles 90.00°, 90.00° and 90.00°. The distinct sites, in fractional coordinates, are Ho at (0.000, 0.000, 0.000), Zn at (0.500, 0.500, 0.000) and Au at (0.000, 0.500, 0.500).


Entry 9:
Material: La16Sm7Y6
Method: DFT, GGA-PBE
State: optimized geometry

The density is 5.86 g/cm3. The volume comes out at 37.20 Å³/atom. The value obtained for the formation energy is 0.189 eV/atom.

The structure belongs to space group Fm-3m (No. 225); the cell edges are 16.281, 16.281 and 16.281 Å and the angles 90.00°, 90.00° and 90.00°. The distinct sites, in fractional coordinates, are La at (0.125, 0.125, 0.125), La at (0.152, 0.152, 0.348), Sm at (0.000, 0.000, 0.000), Sm at (0.000, 0.250, 0.250) and Y at (0.000, 0.000, 0.266).


Entry 10:
Material: ReRu2Cl
Method: DFT, GGA-PBE
State: optimized geometry

The density is 11.93 g/cm3. The volume comes out at 14.75 Å³/atom. Its formation energy from raw total energies is 2.45 eV/f.u.

The structure belongs to space group P4mm (No. 99); the cell edges are 2.814, 2.814 and 7.450 Å and the angles 90.00°, 90.00° and 90.00°. The distinct sites, in fractional coordinates, are Re at (0.000, 0.000, 0.000), Ru at (0.000, 0.000, 0.488), Ru at (0.500, 0.500, 0.233) and Cl at (0.500, 0.500, 0.748).


Entry 11:
Material: TaIn2Ag
Method: DFT, GGA-PBE
State: optimized geometry

The density is 10.57 g/cm3. The volume comes out at 20.35 Å³/atom. The value obtained for the formation energy is 0.185 eV/atom.

The structure belongs to space group Cm (No. 8); the cell edges are 11.115, 3.014 and 5.234 Å and the angles 90.00°, 111.80° and 90.00°. The distinct sites, in fractional coordinates, are Ta at (0.000, 0.000, 0.000), In at (0.254, 0.000, 0.926), In at (0.487, 0.000, 0.503) and Ag at (0.230, 0.500, 0.409).


Entry 12:
Material: Fe5NiPd6
Method: DFT, GGA-PBE
State: optimized geometry

The density is 9.75 g/cm3. The volume comes out at 13.86 Å³/atom. The value obtained for the formation energy is -0.054 eV/atom.

The structure belongs to space group Cmmm (No. 65); the cell edges are 3.852, 11.518 and 7.498 Å and the angles 90.00°, 90.00° and 90.00°. The distinct sites, in fractional coordinates, are Fe at (0.000, 0.000, 0.000), Fe at (0.000, 0.330, 0.000), Fe at (0.000, 0.339, 0.500), Ni at (0.000, 0.000, 0.500), Pd at (0.000, 0.167, 0.253) and Pd at (0.000, 0.500, 0.247).


Entry 13:
Material: PuSiF6
Method: DFT, GGA-PBE
State: optimized geometry

The density is 6.32 g/cm3. The volume comes out at 12.67 Å³/atom. Its formation energy from raw total energies is -24.93 eV/f.u.

The structure belongs to space group C2/m (No. 12); the cell edges are 6.135, 7.183 and 4.724 Å and the angles 90.00°, 103.14° and 90.00°. The distinct sites, in fractional coordinates, are Pu at (0.000, 0.000, 0.000), Si at (0.000, 0.500, 0.500), F at (0.094, 0.333, 0.760) and F at (0.239, 0.000, 0.576).


Entry 14:
Material: CsCr2CuSe
Method: DFT, GGA-PBE
State: optimized geometry

The density is 3.61 g/cm3. The volume comes out at 34.95 Å³/atom. Its formation energy from raw total energies is 10.31 eV/f.u.

The structure belongs to space group P4/mmm (No. 123); the cell edges are 5.803, 5.803 and 5.189 Å and the angles 90.00°, 90.00° and 90.00°. The distinct sites, in fractional coordinates, are Cs at (0.000, 0.000, 0.000), Cr at (0.000, 0.500, 0.000), Cu at (0.000, 0.000, 0.500) and Se at (0.500, 0.500, 0.500).


Entry 15:
Material: Rb2ReAgF6
Method: DFT, GGA-PBE
State: optimized geometry

The density is 5.13 g/cm3. The volume comes out at 18.74 Å³/atom. Its formation energy from raw total energies is -19.46 eV/f.u.

The structure belongs to space group I4/mmm (No. 139); the cell edges are 6.433, 6.433 and 9.058 Å and the angles 90.00°, 90.00° and 90.00°. The distinct sites, in fractional coordinates, are Rb at (0.000, 0.500, 0.250), Re at (0.000, 0.000, 0.000), Ag at (0.000, 0.000, 0.500), F at (0.000, 0.000, 0.222) and F at (0.228, 0.228, 0.000).


Entry 16:
Material: RbZnGe2O6
Method: DFT, GGA-PBE
State: optimized geometry

The density is 4.16 g/cm3. The volume comes out at 15.64 Å³/atom. Its formation energy from raw total energies is -14.04 eV/f.u.

The structure belongs to space group C2/c (No. 15); the cell edges are 10.226, 11.865 and 5.267 Å and the angles 90.00°, 101.87° and 90.00°. The distinct sites, in fractional coordinates, are Rb at (0.000, 0.097, 0.250), Zn at (0.000, 0.256, 0.750), Ge at (0.201, 0.417, 0.208), O at (0.076, 0.315, 0.093), O at (0.137, 0.133, 0.774) and O at (0.182, 0.453, 0.529).


Entry 17:
Material: GaP2Pb
Method: DFT, GGA-PBE
State: optimized geometry

The density is 6.88 g/cm3. The volume comes out at 20.43 Å³/atom. The value obtained for the formation energy is 0.461 eV/atom.

The structure belongs to space group Fm-3m (No. 225); the cell edges are 6.889, 6.889 and 6.889 Å and the angles 90.00°, 90.00° and 90.00°. The distinct sites, in fractional coordinates, are Ga at (0.000, 0.000, 0.000), P at (0.250, 0.250, 0.250) and Pb at (0.000, 0.000, 0.500).


Entry 18:
Material: Zr2Hg2Se
Method: DFT, GGA-PBE
State: optimized geometry

The density is 9.56 g/cm3. The volume comes out at 23.03 Å³/atom. Its formation energy from raw total energies is -2.47 eV/f.u.

The structure belongs to space group P4/mbm (No. 127); the cell edges are 7.032, 7.032 and 4.657 Å and the angles 90.00°, 90.00° and 90.00°. The distinct sites, in fractional coordinates, are Zr at (0.160, 0.340, 0.000), Hg at (0.150, 0.650, 0.500) and Se at (0.000, 0.000, 0.000).


Entry 19:
Material: Nb2GeOs2
Method: DFT, GGA-PBE
State: optimized geometry

The density is 12.25 g/cm3. The volume comes out at 17.31 Å³/atom. The value obtained for the formation energy is 0.047 eV/atom.

The structure belongs to space group P4/mbm (No. 127); the cell edges are 7.546, 7.546 and 3.041 Å and the angles 90.00°, 90.00° and 90.00°. The distinct sites, in fractional coordinates, are Nb at (0.160, 0.340, 0.000), Ge at (0.000, 0.000, 0.500) and Os at (0.134, 0.634, 0.500).


Entry 20:
Material: K3Zr
Method: DFT, GGA-PBE
State: optimized geometry

The density is 1.75 g/cm3. The volume comes out at 49.36 Å³/atom. The value obtained for the formation energy is 0.849 eV/atom.

The structure belongs to space group Immm (No. 71); the cell edges are 3.591, 7.410 and 14.840 Å and the angles 90.00°, 90.00° and 90.00°. The distinct sites, in fractional coordinates, are K at (0.000, 0.000, 0.000), K at (0.000, 0.500, 0.229) and Zr at (0.000, 0.000, 0.500).